[1]
DFT (GGA-PBE) results for crystalline TiSnPdAu at its relaxed geometry.

Summary:
Raw total energy (eV/atom): -5.470
Formation enthalpy at 0 K (eV per formula unit): -1.51

Unit cell a=4.656 b=4.656 c=4.656 alpha=60.00 beta=60.00 gamma=60.00
Fractional coordinates of all 4 atoms:
Au (0.500, 0.500, 0.500)
Sn (0.750, 0.750, 0.750)
Pd (0.000, 0.000, 0.000)
Ti (0.250, 0.250, 0.250)



[2]
DFT (GGA-PBE) results for crystalline Tl2SnPdAu at its relaxed geometry.

Summary:
Raw total energy (eV/atom): -2.941
Formation enthalpy at 0 K (eV per formula unit): 2.50

Unit cell a=5.801 b=5.009 c=5.801 alpha=90.00 beta=90.00 gamma=90.00
Fractional coordinates of all 5 atoms:
Tl (0.000, 0.000, 0.500)
Tl (0.500, 0.000, 0.000)
Au (0.500, 0.500, 0.500)
Sn (0.000, 0.000, 0.000)
Pd (0.000, 0.500, 0.000)



[3]
DFT (GGA-PBE) results for crystalline TlSn2PdAu at its relaxed geometry.

Summary:
Raw total energy (eV/atom): -3.806
Formation enthalpy at 0 K (eV per formula unit): -0.19

Unit cell a=4.849 b=4.849 c=6.462 alpha=90.00 beta=90.00 gamma=90.00
Fractional coordinates of all 5 atoms:
Tl (0.000, 0.000, 0.490)
Sn (0.000, 0.500, 0.890)
Sn (0.500, 0.000, 0.890)
Pd (0.000, 0.000, 0.063)
Au (0.500, 0.500, 0.667)



[4]
DFT (GGA-PBE) results for crystalline VSnPdAu at its relaxed geometry.

Summary:
Raw total energy (eV/atom): -5.512
Formation enthalpy at 0 K (eV per formula unit): -0.46

Unit cell a=4.618 b=4.618 c=4.618 alpha=60.00 beta=60.00 gamma=60.00
Site moments in Bohr magnetons follow the coordinates.
Fractional coordinates of all 4 atoms:
Au (0.750, 0.750, 0.750)  0.01
Sn (0.250, 0.250, 0.250)  -0.01
Pd (0.000, 0.000, 0.000)  0.00
V (0.500, 0.500, 0.500)  2.01



[5]
DFT (GGA-PBE) results for crystalline Y2SnPdAu at its relaxed geometry.

Summary:
Raw total energy (eV/atom): -4.957
Formation enthalpy at 0 K (eV per formula unit): 0.62

Unit cell a=5.676 b=4.869 c=5.676 alpha=90.00 beta=90.00 gamma=90.00
Fractional coordinates of all 5 atoms:
Y (0.000, 0.000, 0.500)
Y (0.500, 0.000, 0.000)
Au (0.500, 0.500, 0.500)
Sn (0.000, 0.000, 0.000)
Pd (0.000, 0.500, 0.000)



[6]
DFT (GGA-PBE) results for crystalline Y2SnPd5Au at its relaxed geometry.

Summary:
Raw total energy (eV/atom): -5.466
Formation enthalpy at 0 K (eV per formula unit): -3.02

Unit cell a=8.527 b=8.527 c=8.016 alpha=122.13 beta=122.13 gamma=90.00
Fractional coordinates of all 18 atoms:
Y (0.129, 0.371, 0.000)
Y (0.629, 0.129, 0.000)
Y (0.371, 0.871, 0.000)
Y (0.871, 0.629, 0.000)
Sn (0.250, 0.250, 0.500)
Sn (0.750, 0.750, 0.500)
Pd (0.942, 0.442, 0.269)
Pd (0.673, 0.173, 0.731)
Pd (0.058, 0.558, 0.731)
Pd (0.173, 0.058, 0.731)
Pd (0.558, 0.673, 0.731)
Pd (0.827, 0.942, 0.269)
Pd (0.442, 0.327, 0.269)
Pd (0.327, 0.827, 0.269)
Pd (0.500, 0.500, 0.000)
Pd (0.000, 0.000, 0.000)
Au (0.250, 0.750, 0.500)
Au (0.750, 0.250, 0.500)



[7]
DFT (GGA-PBE) results for crystalline ZnSnPdAu at its relaxed geometry.

Summary:
Raw total energy (eV/atom): -3.677
Formation enthalpy at 0 K (eV per formula unit): -0.96

Unit cell a=4.644 b=4.644 c=4.644 alpha=60.00 beta=60.00 gamma=60.00
Fractional coordinates of all 4 atoms:
Zn (0.750, 0.750, 0.750)
Au (0.000, 0.000, 0.000)
Sn (0.250, 0.250, 0.250)
Pd (0.500, 0.500, 0.500)



[8]
DFT (GGA-PBE) results for crystalline Zn2SnPdAu at its relaxed geometry.

Summary:
Raw total energy (eV/atom): -2.885
Formation enthalpy at 0 K (eV per formula unit): 0.59

Unit cell a=4.790 b=5.094 c=4.790 alpha=90.00 beta=90.00 gamma=90.00
Fractional coordinates of all 5 atoms:
Zn (0.000, 0.000, 0.500)
Zn (0.500, 0.000, 0.000)
Au (0.500, 0.500, 0.500)
Sn (0.000, 0.500, 0.000)
Pd (0.000, 0.000, 0.000)



[9]
DFT (GGA-PBE) results for crystalline Sr2PdAu2 at its relaxed geometry.

Summary:
Raw total energy (eV/atom): -3.644
Formation enthalpy at 0 K (eV per formula unit): -3.11
Relative energy among the computed polymorphs (meV per atom): 85

Unit cell a=7.766 b=7.766 c=4.364 alpha=90.00 beta=90.00 gamma=90.00
Fractional coordinates of all 10 atoms:
Sr (0.177, 0.677, 0.500)
Sr (0.677, 0.823, 0.500)
Sr (0.823, 0.323, 0.500)
Sr (0.323, 0.177, 0.500)
Au (0.370, 0.870, 0.000)
Au (0.870, 0.630, 0.000)
Au (0.630, 0.130, 0.000)
Au (0.130, 0.370, 0.000)
Pd (0.000, 0.000, 0.000)
Pd (0.500, 0.500, 0.000)



[10]
DFT (GGA-PBE) results for crystalline SrPdAu at its relaxed geometry.

Summary:
Raw total energy (eV/atom): -4.016
Formation enthalpy at 0 K (eV per formula unit): -1.90
Relative energy among the computed polymorphs (meV per atom): 46

Unit cell a=4.064 b=4.642 c=4.642 alpha=120.00 beta=90.00 gamma=90.00
Fractional coordinates of all 3 atoms:
Sr (0.667, 0.667, 0.333)
Au (0.167, 0.333, 0.667)
Pd (0.166, 0.000, 0.000)



[11]
DFT (GGA-PBE) results for crystalline SrPd3Au at its relaxed geometry.

Summary:
Raw total energy (eV/atom): -4.463
Formation enthalpy at 0 K (eV per formula unit): -1.78
Relative energy among the computed polymorphs (meV per atom): 0

Unit cell a=4.383 b=5.455 c=5.455 alpha=120.86 beta=90.00 gamma=90.00
Fractional coordinates of all 5 atoms:
Sr (0.000, 0.594, 0.406)
Pd (0.500, 0.085, 0.406)
Pd (0.500, 0.594, 0.915)
Pd (0.000, 0.269, 0.731)
Au (0.500, 0.086, 0.914)



[12]
DFT (GGA-PBE) results for crystalline Sr2Pd2Au at its relaxed geometry.

Summary:
Raw total energy (eV/atom): -3.700
Formation enthalpy at 0 K (eV per formula unit): -1.47
Relative energy among the computed polymorphs (meV per atom): 391

Unit cell a=8.469 b=8.469 c=3.845 alpha=90.00 beta=90.00 gamma=90.00
Fractional coordinates of all 10 atoms:
Sr (0.323, 0.823, 0.000)
Sr (0.823, 0.677, 0.000)
Sr (0.677, 0.177, 0.000)
Sr (0.177, 0.323, 0.000)
Au (0.000, 0.000, 0.000)
Au (0.500, 0.500, 0.000)
Pd (0.114, 0.614, 0.500)
Pd (0.614, 0.886, 0.500)
Pd (0.886, 0.386, 0.500)
Pd (0.386, 0.114, 0.500)